{"formula": "ScAlSb2", "functional": "PBE-GGA", "state": "optimized geometry", "cell": [[3.312, 0.000, 0.000], [-1.656, 2.869, 0.000], [0.000, 0.000, 31.674]], "species": ["Sc", "Sc", "Sc", "Al", "Al", "Al", "Sb", "Sb", "Sb", "Sb", "Sb", "Sb"], "fractional_positions": [[0.000, 0.000, 0.000], [0.333, 0.667, 0.667], [0.667, 0.333, 0.333], [0.000, 0.000, 0.740], [0.333, 0.667, 0.407], [0.667, 0.333, 0.074], [0.000, 0.000, 0.258], [0.000, 0.000, 0.478], [0.333, 0.667, 0.145], [0.333, 0.667, 0.925], [0.667, 0.333, 0.591], [0.667, 0.333, 0.812]], "n_ef_per_ev_atom": 1.01, "de_polymorph_mev_per_atom": 359, "raw_formation_energy_mev_per_atom": -56}


{"formula": "BaBr3", "functional": "PBE-GGA", "state": "optimized geometry", "cell": [[4.862, 0.000, 0.000], [0.000, 9.633, 0.000], [0.000, 0.000, 6.349]], "species": ["Ba", "Ba", "Br", "Br", "Br", "Br", "Br", "Br"], "fractional_positions": [[0.000, 0.000, 0.000], [0.500, 0.500, 0.500], [0.000, 0.302, 0.710], [0.000, 0.500, 0.147], [0.000, 0.698, 0.710], [0.500, 0.000, 0.647], [0.500, 0.198, 0.210], [0.500, 0.802, 0.210]], "n_ef_per_ev_atom": 0.86, "raw_formation_energy_mev_per_atom": -1420}